Density functional theory data (SCAN) for Cd2HgAu at its PBEsol-relaxed geometry.

Geometry as POSCAR:
```
Cd2HgAu
1.0
3.181 0.000 0.000
0.000 4.719 0.000
0.000 0.000 5.178
Hg Au Cd
1 1 2
direct
0.500 0.000 0.546 Hg
0.500 0.500 0.196 Au
0.000 0.500 0.702 Cd
0.000 0.000 0.057 Cd
```

## Properties
Its space group is Pmm2 (25). The energy relative to the elements comes out at -8.9 kJ per mole of atoms. Its total moment is 0.0 μB per formula unit.